A geometry-optimized RbPrEr4Se8 structure, computed with GGA-PBE.

abc: 8.548 8.548 8.751
angles: 60.76 60.76 60.00
Element x y z (fractional)
Se  0.757  0.757  0.729
Se  0.752  0.232  0.263
Se  0.242  0.242  0.718
Se  0.229  0.229  0.312
Se  0.242  0.799  0.718
Se  0.799  0.242  0.718
Se  0.752  0.752  0.263
Se  0.232  0.752  0.263
Er  0.004  0.487  0.505
Er  0.487  0.004  0.505
Er  0.626  0.626  0.122
Er  0.004  0.004  0.505
Pr  0.006  0.006  0.983
Rb  0.368  0.368  0.897

Electronic total energy ... -75.73 eV/f.u.
ΔE_f (raw) ... -23.85 eV per formula unit
Space-group type ... R3m
DOS at the Fermi energy ... 0.000 states/eV per atom
Total magnetic moment ... 0.00 μB/f.u.

***

A geometry-optimized ZrPaGa6 structure, computed with GGA-PBE.

abc: 4.227 4.227 8.354
angles: 90.00 90.00 90.00
Element x y z (fractional)
Ga  0.500  0.500  0.500
Ga  0.500  0.500  0.000
Ga  0.000  0.500  0.743
Ga  0.500  0.000  0.743
Ga  0.000  0.500  0.257
Ga  0.500  0.000  0.257
Zr  0.000  0.000  0.500
Pa  0.000  0.000  0.000

Energy of formation ... -0.444 eV per atom
Electronic total energy ... -39.76 eV/f.u.
Space-group type ... P4/mmm
DOS at the Fermi energy ... 0.525 states/eV per atom
Total magnetic moment ... 0.00 μB/f.u.

***

A geometry-optimized NaSeBrN2 structure, computed with GGA-PBE.

abc: 4.373 4.373 5.462
angles: 90.00 90.00 90.00
Site moments in Bohr magnetons follow the coordinates.
Element x y z (fractional)
Na  0.500  0.500  0.500  0.00
N  0.500  0.000  0.000  1.05
N  0.000  0.500  0.000  1.05
Se  0.000  0.000  0.500  0.23
Br  0.000  0.000  0.000  0.02

Electronic total energy ... -14.82 eV/f.u.
ΔE to the lowest computed polymorph ... 0.0 meV per atom
ΔE_f (raw) ... 8.30 eV per formula unit
Space-group type ... P4/mmm
DOS at the Fermi energy ... 0.418 states/eV per atom
Total magnetic moment ... 3.46 μB/f.u.

***

Look up the electronic total energy of the first one.
-75.73 eV/f.u.